The following is a DFT calculation (GGA-PBE) of an optimized crystal structure of Tm3Bi2Te2.

formation energy (no corrections) = -0.864 eV per atom
energy = -4.7869 eV/atom

The structure in CIF format:
```
data_Tm3Bi2Te2
_cell_length_a 16.1409
_cell_length_b 4.0648
_cell_length_c 7.7952
_cell_angle_alpha 90.00
_cell_angle_beta 115.28
_cell_angle_gamma 90.00
_space_group_name_H-M_alt 'C 1 2/m 1'
_space_group_IT_number 12
_space_group_name_Hall '-C 2y'
loop_
_atom_site_label
_atom_site_type_symbol
_atom_site_fract_x
_atom_site_fract_y
_atom_site_fract_z
Tm1 Tm 0.0000 0.0000 0.0000
Tm2 Tm 0.2433 0.5000 0.7210
Bi1 Bi 0.1033 0.0000 0.4393
Te1 Te 0.1359 0.5000 0.9728
```